CdMo2Pt | PBE | relaxed

Summary:
Theoretical density: 12.36 Mg/m³
Space group: Cmm2
E_form: 39 meV/atom

Cell and atoms, written as POSCAR:
```
CdMo2Pt
1.0
1.7412 -2.1564 0.0000
1.7412 2.1564 0.0000
0.0000 0.0000 8.9330
Cd Mo Pt
1 2 1
Cartesian
0.0000 0.0000 0.0000 Cd
0.0000 0.0000 4.5975 Mo
1.7412 0.0000 2.4108 Mo
1.7412 0.0000 6.6180 Pt
```



CdMoPt2 | PBE | relaxed

Summary:
Theoretical density: 14.96 Mg/m³
Space group: Pmmm
E_form: -187 meV/atom

Cell and atoms, written as POSCAR:
```
CdMoPt2
1.0
2.8406 0.0000 0.0000
0.0000 3.9604 0.0000
0.0000 0.0000 5.9038
Cd Mo Pt
1 1 2
Cartesian
0.0000 0.0000 0.0000 Cd
0.0000 0.0000 2.9519 Mo
1.4203 1.9802 1.6057 Pt
1.4203 1.9802 4.2981 Pt
```



CdMo2Pt | PBE | relaxed

Summary:
Theoretical density: 11.21 Mg/m³
Space group: I-42d
E_form: 673 meV/atom

Cell and atoms, written as POSCAR:
```
CdMo2Pt
1.0
-3.7401 3.7401 2.6435
3.7401 -3.7401 2.6435
3.7401 3.7401 -2.6435
Cd Mo Pt
2 4 2
Cartesian
0.0000 0.0000 0.0000 Cd
0.0000 3.7401 1.3218 Cd
1.8701 -1.6471 1.9827 Mo
2.0930 1.8701 0.6609 Mo
1.8701 5.3872 -0.6609 Mo
1.6471 1.8701 3.3044 Mo
3.7401 0.0000 1.3218 Pt
0.0000 0.0000 2.6435 Pt
```